1.
# AgAuO2F

A relaxed structure of AgAuO2F (PBE, Alexandria).

## Properties
**Size of the total moment**: 0.77 μB/cell
**Raw formation energy**: 0.39 eV per formula unit

Cell: 4.035 4.035 4.478 Å, 90.00 90.00 90.00°
Last column: magnetic moment on the atom in μB.
Atoms (fractional coordinates):
Ag  0.500  0.500  0.500  0.04
F  0.000  0.000  0.500  0.01
O  0.500  0.000  0.000  0.24
O  0.000  0.500  0.000  0.24
Au  0.000  0.000  0.000  0.15


2.
# Sc8TcRu2

A relaxed structure of Sc8TcRu2 (PBE, Alexandria).

## Properties
**Size of the total moment**: 0.00 μB/cell
**Formation enthalpy at 0 K**: -0.31 eV/atom

Cell: 4.588 6.442 8.318 Å, 108.07 106.01 90.00°
Atoms (fractional coordinates):
Sc  0.197  0.298  0.394
Ru  0.183  0.691  0.366
Sc  0.335  0.044  0.669
Tc  0.500  0.000  0.000
Sc  0.027  0.790  0.054
Ru  0.817  0.309  0.634
Sc  0.803  0.702  0.606
Sc  0.599  0.453  0.198
Sc  0.973  0.210  0.946
Sc  0.665  0.956  0.331
Sc  0.401  0.547  0.802


Which of these has the highest size of the total moment?
AgAuO2F